Entry from Alexandria via LeMat-Bulk: an optimized crystal structure of NaAgO2 (GGA-PBEsol).

The calculation puts the uncorrected formation energy at -18.8 kJ/mol of atoms. The space group is No. 166.

Cell: 6.8614 6.8614 6.8614 Å, 26.91 26.91 26.91°
Atoms (fractional coordinates):
Na 0.0000 0.0000 0.0000
Ag 0.5000 0.5000 0.5000
O 0.4047 0.4047 0.4047
O 0.5953 0.5953 0.5953

---

Entry from Alexandria via LeMat-Bulk: an optimized crystal structure of LuNiBC (GGA-PBEsol).

The space group is No. 129. The formation energy comes out at -0.62 eV per atom.

Cell: 3.4552 3.4552 7.4545 Å, 90.00 90.00 90.00°
Atoms (fractional coordinates):
Lu 0.2500 0.2500 0.1624
Lu 0.7500 0.7500 0.8376
Ni 0.2500 0.7500 0.5000
Ni 0.7500 0.2500 0.5000
B 0.2500 0.2500 0.6502
B 0.7500 0.7500 0.3498
C 0.2500 0.2500 0.8505
C 0.7500 0.7500 0.1495

---

Entry from Alexandria via LeMat-Bulk: an optimized crystal structure of Ti2BeBiMo (GGA-PBEsol).

The space group is No. 123. The formation energy comes out at 1.15 eV per atom.

Cell: 4.6302 4.6302 5.2439 Å, 90.00 90.00 90.00°
Atoms (fractional coordinates):
Ti 0.0000 0.5000 0.0000
Ti 0.5000 0.0000 0.0000
Be 0.0000 0.0000 0.5000
Bi 0.5000 0.5000 0.5000
Mo 0.5000 0.5000 0.0000

---

Entry from Alexandria via LeMat-Bulk: an optimized crystal structure of NaFeNiC2 (GGA-PBEsol).

The space group is No. 123. The formation energy comes out at 1.92 eV per atom.

Cell: 3.7039 3.7039 4.4631 Å, 90.00 90.00 90.00°
Atoms (fractional coordinates):
Na 0.0000 0.0000 0.0000
Fe 0.5000 0.5000 0.0000
Ni 0.0000 0.0000 0.5000
C 0.0000 0.5000 0.5000
C 0.5000 0.0000 0.5000

---

Entry from Alexandria via LeMat-Bulk: an optimized crystal structure of Ag3Te (GGA-PBEsol).

The calculation puts the uncorrected formation energy at 1.9 kJ/mol of atoms. The space group is No. 221. For the distance to the lowest polymorph of the same formula, the calculation gives 0.0000 eV/atom.

Cell: 4.2372 4.2372 4.2372 Å, 90.00 90.00 90.00°
Atoms (fractional coordinates):
Ag 0.0000 0.0000 0.5000
Ag 0.0000 0.5000 0.0000
Ag 0.5000 0.0000 0.0000
Te 0.5000 0.5000 0.5000

---

Entry from Alexandria via LeMat-Bulk: an optimized crystal structure of LiAg2PdPt (GGA-PBEsol).

The space group is No. 123. The formation energy comes out at 0.75 eV per atom.

Cell: 4.9791 4.9791 4.8159 Å, 90.00 90.00 90.00°
Atoms (fractional coordinates):
Li 0.0000 0.0000 0.0000
Ag 0.0000 0.5000 0.5000
Ag 0.5000 0.0000 0.5000
Pd 0.5000 0.5000 0.5000
Pt 0.5000 0.5000 0.0000

---

Entry from Alexandria via LeMat-Bulk: an optimized crystal structure of YPt3 (GGA-PBEsol).

The space group is No. 59. The formation energy comes out at -0.88 eV per atom.

Cell: 4.5398 5.7379 5.3441 Å, 90.00 90.00 90.00°
Atoms (fractional coordinates):
Y 0.2500 0.2500 0.1433
Y 0.7500 0.7500 0.8567
Pt 0.2500 0.0140 0.6497
Pt 0.2500 0.4860 0.6497
Pt 0.2500 0.7500 0.2143
Pt 0.7500 0.2500 0.7857
Pt 0.7500 0.5140 0.3503
Pt 0.7500 0.9860 0.3503

---

Entry from Alexandria via LeMat-Bulk: an optimized crystal structure of HgPIrS2 (GGA-PBEsol).

The calculation puts the uncorrected formation energy at 185.9 kJ/mol of atoms. The space group is No. 123.

Cell: 4.7582 4.7582 4.7794 Å, 90.00 90.00 90.00°
Atoms (fractional coordinates):
Hg 0.0000 0.0000 0.0000
P 0.0000 0.0000 0.5000
Ir 0.5000 0.5000 0.5000
S 0.0000 0.5000 0.0000
S 0.5000 0.0000 0.0000

---

Entry from Alexandria via LeMat-Bulk: an optimized crystal structure of Mg2AlSe2 (GGA-PBEsol).

The calculation puts the uncorrected formation energy at -52.0 kJ/mol of atoms. The space group is No. 127.

Cell: 7.4924 7.4924 3.5793 Å, 90.00 90.00 90.00°
Atoms (fractional coordinates):
Mg 0.1508 0.3492 0.0000
Mg 0.3492 0.8492 0.0000
Mg 0.6508 0.1508 0.0000
Mg 0.8492 0.6508 0.0000
Al 0.0000 0.0000 0.5000
Al 0.5000 0.5000 0.5000
Se 0.1572 0.6572 0.5000
Se 0.3428 0.1572 0.5000
Se 0.6572 0.8428 0.5000
Se 0.8428 0.3428 0.5000

---

Entry from Alexandria via LeMat-Bulk: an optimized crystal structure of Li3P2WO9 (GGA-PBEsol).

The calculation puts the uncorrected formation energy at -214.6 kJ/mol of atoms. The space group is No. 14.

Cell: 4.9717 15.9809 8.6959 Å, 90.00 102.29 90.00°
Atoms (fractional coordinates):
Li 0.2106 0.1198 0.4637
Li 0.2106 0.3802 0.9637
Li 0.2463 0.1319 0.0899
Li 0.2463 0.3681 0.5899
Li 0.2706 0.6869 0.0604
Li 0.2706 0.8131 0.5604
Li 0.7294 0.1869 0.4396
Li 0.7294 0.3131 0.9396
Li 0.7537 0.6319 0.4101
Li 0.7537 0.8681 0.9101
Li 0.7894 0.6198 0.0363
Li 0.7894 0.8802 0.5363
P 0.1731 0.2226 0.7710
P 0.1731 0.2774 0.2710
P 0.2136 0.5407 0.3023
P 0.2136 0.9593 0.8023
P 0.7864 0.0407 0.1977
P 0.7864 0.4593 0.6977
P 0.8269 0.7226 0.7290
P 0.8269 0.7774 0.2290
W 0.3025 0.5992 0.6873
W 0.3025 0.9008 0.1873
W 0.6975 0.0992 0.8127
W 0.6975 0.4008 0.3127
O 0.0393 0.0398 0.7964
O 0.0393 0.4602 0.2964
O 0.0993 0.1985 0.5995
O 0.0993 0.3015 0.0995
O 0.0990 0.7105 0.6621
O 0.0990 0.7895 0.1621
O 0.1473 0.5868 0.1483
O 0.1473 0.9132 0.6483
O 0.1568 0.5945 0.4414
O 0.1568 0.9055 0.9414
O 0.2953 0.1892 0.2962
O 0.2953 0.3108 0.7962
O 0.3884 0.1631 0.8801
O 0.3884 0.3369 0.3801
O 0.4420 0.6059 0.8880
O 0.4420 0.8941 0.3880
O 0.4731 0.0156 0.1573
O 0.4731 0.4844 0.6573
O 0.5269 0.5156 0.3427
O 0.5269 0.9844 0.8427
O 0.5580 0.1059 0.6120
O 0.5580 0.3941 0.1120
O 0.6116 0.6631 0.6199
O 0.6116 0.8369 0.1199
O 0.7047 0.6892 0.2038
O 0.7047 0.8108 0.7038
O 0.8432 0.0945 0.0586
O 0.8432 0.4055 0.5586
O 0.8527 0.0868 0.3517
O 0.8527 0.4132 0.8517
O 0.9010 0.2105 0.8379
O 0.9010 0.2895 0.3379
O 0.9007 0.6985 0.9005
O 0.9007 0.8015 0.4005
O 0.9607 0.5398 0.7036
O 0.9607 0.9602 0.2036

---

Entry from Alexandria via LeMat-Bulk: an optimized crystal structure of LiSmP4O12 (GGA-PBEsol).

The calculation puts the uncorrected formation energy at -239.8 kJ/mol of atoms. The space group is No. 15.

Cell: 8.9134 8.9134 9.7007 Å, 122.93 122.93 46.50°
Atoms (fractional coordinates):
Li 0.2048 0.7952 0.7500
Li 0.7952 0.2048 0.2500
Sm 0.2949 0.7051 0.2500
Sm 0.7051 0.2949 0.7500
P 0.0834 0.1911 0.1606
P 0.1911 0.0834 0.6606
P 0.2019 0.5041 0.4037
P 0.4959 0.7981 0.0963
P 0.5041 0.2019 0.9037
P 0.7981 0.4959 0.5963
P 0.8089 0.9166 0.3394
P 0.9166 0.8089 0.8394
O 0.0340 0.2811 0.5817
O 0.0612 0.0676 0.2018
O 0.0676 0.0612 0.7018
O 0.1049 0.6673 0.9541
O 0.1652 0.3238 0.3437
O 0.2595 0.4843 0.2733
O 0.2811 0.0340 0.0817
O 0.3238 0.1652 0.8437
O 0.3327 0.8951 0.5459
O 0.3412 0.5161 0.5850
O 0.4843 0.2595 0.7733
O 0.4839 0.6588 0.9150
O 0.5161 0.3412 0.0850
O 0.5157 0.7405 0.2267
O 0.6588 0.4839 0.4150
O 0.6673 0.1049 0.4541
O 0.6762 0.8348 0.1563
O 0.7189 0.9660 0.9183
O 0.7405 0.5157 0.7267
O 0.8348 0.6762 0.6563
O 0.8951 0.3327 0.0459
O 0.9324 0.9388 0.2982
O 0.9388 0.9324 0.7982
O 0.9660 0.7189 0.4183

---

Entry from Alexandria via LeMat-Bulk: an optimized crystal structure of Li3V6O13 (GGA-PBEsol).

The calculation puts the uncorrected formation energy at -224.3 kJ/mol of atoms. The space group is No. 12.

Cell: 6.1038 6.1038 9.9139 Å, 100.32 100.32 36.92°
Atoms (fractional coordinates):
Li 0.0000 0.0000 0.0000
Li 0.0654 0.0654 0.3979
Li 0.9346 0.9346 0.6021
V 0.2720 0.2720 0.6362
V 0.3410 0.3410 0.0042
V 0.3965 0.3965 0.3696
V 0.6035 0.6035 0.6304
V 0.6590 0.6590 0.9958
V 0.7280 0.7280 0.3638
O 0.1013 0.1013 0.6101
O 0.1666 0.1666 0.9991
O 0.2332 0.2332 0.4022
O 0.3108 0.3108 0.8051
O 0.3735 0.3735 0.1964
O 0.4305 0.4305 0.5901
O 0.5000 0.5000 0.0000
O 0.5695 0.5695 0.4099
O 0.6265 0.6265 0.8036
O 0.6892 0.6892 0.1949
O 0.7668 0.7668 0.5978
O 0.8334 0.8334 0.0009
O 0.8987 0.8987 0.3899

---

Entry from Alexandria via LeMat-Bulk: an optimized crystal structure of YPbW (GGA-PBEsol).

The space group is No. 107. The formation energy comes out at 0.44 eV per atom. For the distance to the lowest polymorph of the same formula, the calculation gives 0.0000 eV/atom.

Cell: 5.6406 5.6406 5.6406 Å, 142.55 142.55 53.99°
Atoms (fractional coordinates):
Y 0.0000 0.0000 0.0000
Pb 0.3101 0.3101 0.0000
W 0.6725 0.6725 0.0000

---

Entry from Alexandria via LeMat-Bulk: an optimized crystal structure of AsCSe2 (GGA-PBEsol).

The calculation puts the uncorrected formation energy at 101.4 kJ/mol of atoms. The space group is No. 122.

Cell: 5.8132 5.8132 5.8132 Å, 115.85 115.85 97.35°
Atoms (fractional coordinates):
As 0.0000 0.0000 0.0000
As 0.7500 0.2500 0.5000
C 0.2500 0.7500 0.5000
C 0.5000 0.5000 0.0000
Se 0.1958 0.1250 0.5708
Se 0.3750 0.8042 0.9292
Se 0.5542 0.6250 0.4292
Se 0.8750 0.4458 0.0708

---

Entry from Alexandria via LeMat-Bulk: an optimized crystal structure of Sn2HgAs (GGA-PBEsol).

The space group is No. 225. The formation energy comes out at 0.10 eV per atom.

Cell: 5.1058 5.1058 5.1058 Å, 60.00 60.00 60.00°
Atoms (fractional coordinates):
Sn 0.2500 0.2500 0.2500
Sn 0.7500 0.7500 0.7500
Hg 0.0000 0.0000 0.0000
As 0.5000 0.5000 0.5000

---

Entry from Alexandria via LeMat-Bulk: an optimized crystal structure of Mg2C (GGA-PBEsol).

The space group is No. 12. The formation energy comes out at 0.54 eV per atom. For the distance to the lowest polymorph of the same formula, the calculation gives 0.2196 eV/atom.

Cell: 3.5005 3.5005 4.8724 Å, 91.33 91.33 59.83°
Atoms (fractional coordinates):
Mg 0.1630 0.1630 0.3080
Mg 0.8370 0.8370 0.6920
C 0.5000 0.5000 0.5000

---

Entry from Alexandria via LeMat-Bulk: an optimized crystal structure of Ba2YCoNi (GGA-PBEsol).

The space group is No. 123. The formation energy comes out at 1.21 eV per atom.

Cell: 6.3187 6.3187 4.3759 Å, 90.00 90.00 90.00°
Atoms (fractional coordinates):
Ba 0.0000 0.5000 0.0000
Ba 0.5000 0.0000 0.0000
Y 0.0000 0.0000 0.0000
Co 0.0000 0.0000 0.5000
Ni 0.5000 0.5000 0.5000

---

Entry from Alexandria via LeMat-Bulk: an optimized crystal structure of ScTiRe3 (GGA-PBEsol).

The space group is No. 221. The formation energy comes out at 1.40 eV per atom.

Cell: 4.5225 4.5225 4.5225 Å, 90.00 90.00 90.00°
Atoms (fractional coordinates):
Sc 0.0000 0.0000 0.0000
Ti 0.5000 0.5000 0.5000
Re 0.0000 0.5000 0.5000
Re 0.5000 0.0000 0.5000
Re 0.5000 0.5000 0.0000

---

Entry from Alexandria via LeMat-Bulk: an optimized crystal structure of CeSnPd (GGA-PBEsol).

The space group is No. 189. The formation energy comes out at -0.80 eV per atom.

Cell: 7.4324 7.4324 4.1428 Å, 90.00 90.00 120.00°
Atoms (fractional coordinates):
Ce 0.0000 0.5860 0.0000
Ce 0.4140 0.4140 0.0000
Ce 0.5860 0.0000 0.0000
Sn 0.0000 0.2517 0.5000
Sn 0.2517 0.0000 0.5000
Sn 0.7483 0.7483 0.5000
Pd 0.0000 0.0000 0.0000
Pd 0.3333 0.6667 0.5000
Pd 0.6667 0.3333 0.5000

---

Entry from Alexandria via LeMat-Bulk: an optimized crystal structure of ReSbTe (GGA-PBEsol).

The calculation puts the uncorrected formation energy at 138.5 kJ/mol of atoms. The space group is No. 216. For the distance to the lowest polymorph of the same formula, the calculation gives 0.7891 eV/atom.

Cell: 4.6589 4.6589 4.6589 Å, 60.00 60.00 60.00°
Atoms (fractional coordinates):
Re 0.0000 0.0000 0.0000
Sb 0.5000 0.5000 0.5000
Te 0.7500 0.7500 0.7500

---

Entry from Alexandria via LeMat-Bulk: an optimized crystal structure of TiP3Ir (GGA-PBEsol).

The space group is No. 221. The formation energy comes out at 0.71 eV per atom.

Cell: 4.5665 4.5665 4.5665 Å, 90.00 90.00 90.00°
Atoms (fractional coordinates):
Ti 0.0000 0.0000 0.0000
P 0.0000 0.5000 0.5000
P 0.5000 0.0000 0.5000
P 0.5000 0.5000 0.0000
Ir 0.5000 0.5000 0.5000

---

Entry from Alexandria via LeMat-Bulk: an optimized crystal structure of PIrRu2 (GGA-PBEsol).

The space group is No. 160. The formation energy comes out at -0.07 eV per atom.

Cell: 8.1776 8.1776 8.1776 Å, 19.37 19.37 19.37°
Atoms (fractional coordinates):
P 0.0000 0.0000 0.0000
Ir 0.7440 0.7440 0.7440
Ru 0.2599 0.2599 0.2599
Ru 0.5033 0.5033 0.5033

---

Entry from Alexandria via LeMat-Bulk: an optimized crystal structure of LiMnAs (GGA-PBEsol).

The space group is No. 107. The formation energy comes out at -0.08 eV per atom.

Cell: 4.4712 4.4712 4.4712 Å, 140.27 140.27 57.44°
Atoms (fractional coordinates):
Li 0.0000 0.0000 0.0000
Mn 0.3233 0.3233 0.0000
As 0.6751 0.6751 0.0000